# CuTcHgPb GGA-PBE optimized geometry
data_CuTcHgPb
_chemical_formula_sum 'Cu4 Tc4 Hg4 Pb4'
_cell_length_a 6.8371
_cell_length_b 6.8371
_cell_length_c 6.8371
_cell_angle_alpha 90.00
_cell_angle_beta 90.00
_cell_angle_gamma 90.00
_space_group_name_H-M_alt 'F -4 3 m'
_space_group_IT_number 216
_space_group_name_Hall 'F -4 2 3'
loop_
_atom_site_label
_atom_site_type_symbol
_atom_site_fract_x
_atom_site_fract_y
_atom_site_fract_z
Cu1 Cu 0.0000 0.0000 0.0000
Tc1 Tc 0.2500 0.2500 0.2500
Hg1 Hg 0.0000 0.0000 0.5000
Pb1 Pb 0.2500 0.2500 0.7500
# * volume: 20.0 Å³/atom
# * distance to the lowest polymorph of the same formula: 172 meV/atom
# * ρ: 11.8 Mg/m³


# YCuHgPb GGA-PBE optimized geometry
data_YCuHgPb
_chemical_formula_sum 'Y4 Cu4 Hg4 Pb4'
_cell_length_a 7.1585
_cell_length_b 7.1585
_cell_length_c 7.1585
_cell_angle_alpha 90.00
_cell_angle_beta 90.00
_cell_angle_gamma 90.00
_space_group_name_H-M_alt 'F -4 3 m'
_space_group_IT_number 216
_space_group_name_Hall 'F -4 2 3'
loop_
_atom_site_label
_atom_site_type_symbol
_atom_site_fract_x
_atom_site_fract_y
_atom_site_fract_z
Y1 Y 0.0000 0.0000 0.0000
Cu1 Cu 0.0000 0.0000 0.5000
Hg1 Hg 0.2500 0.2500 0.7500
Pb1 Pb 0.2500 0.2500 0.2500
# * volume: 22.9 Å³/atom
# * distance to the lowest polymorph of the same formula: 22 meV/atom
# * ρ: 10.1 Mg/m³


# YCuHgPb GGA-PBE optimized geometry
data_YCuHgPb
_chemical_formula_sum 'Y4 Cu4 Hg4 Pb4'
_cell_length_a 7.2011
_cell_length_b 7.2011
_cell_length_c 7.2011
_cell_angle_alpha 90.00
_cell_angle_beta 90.00
_cell_angle_gamma 90.00
_space_group_name_H-M_alt 'F -4 3 m'
_space_group_IT_number 216
_space_group_name_Hall 'F -4 2 3'
loop_
_atom_site_label
_atom_site_type_symbol
_atom_site_fract_x
_atom_site_fract_y
_atom_site_fract_z
Y1 Y 0.0000 0.0000 0.0000
Cu1 Cu 0.2500 0.2500 0.7500
Hg1 Hg 0.2500 0.2500 0.2500
Pb1 Pb 0.0000 0.0000 0.5000
# * volume: 23.3 Å³/atom
# * distance to the lowest polymorph of the same formula: 0 meV/atom
# * ρ: 10.0 Mg/m³